(1)
The following is a DFT calculation (PBE) of crystalline Mn2GeIr2 at its relaxed geometry.

```
Mn2GeIr2
1.0
-7.240 -0.267 -0.357
0.381 -6.720 -2.704
-0.091 -1.070 2.647
Ir Mn Ge
4 4 2
direct
0.365 0.865 0.000
0.865 0.635 0.000
0.135 0.365 0.000
0.635 0.135 0.000
0.662 0.838 0.500
0.162 0.662 0.500
0.338 0.162 0.500
0.838 0.338 0.500
0.500 0.500 0.000
0.000 0.000 0.000
```

Values from the calculation:
As for the total energy: -80.859 eV/cell.

***

(2)
The following is a DFT calculation (PBE) of crystalline V3CrB at its relaxed geometry.

```
V3CrB
1.0
-2.376 0.308 3.449
3.268 -1.185 2.357
1.146 4.017 0.431
V Cr B
3 1 1
direct
0.000 0.000 0.500
0.500 0.000 0.000
0.000 0.500 0.000
0.000 0.000 0.000
0.500 0.500 0.500
```

Values from the calculation:
As for the total energy: -36.144 eV/cell.

***

(3)
The following is a DFT calculation (PBE) of crystalline BaHoPt2O8 at its relaxed geometry.

```
BaHoPt2O8
1.0
-4.435 -2.613 -2.212
4.007 -2.963 2.562
-3.417 0.644 6.089
O Pt Ba Ho
8 2 1 1
direct
0.333 0.667 0.667
0.327 0.944 0.140
0.667 0.333 0.333
0.056 0.383 0.140
0.673 0.056 0.860
0.617 0.673 0.140
0.944 0.617 0.860
0.383 0.327 0.860
0.667 0.333 0.045
0.333 0.667 0.955
0.000 0.000 0.500
0.000 0.000 0.000
```

Values from the calculation:
For the raw formation energy, the calculation gives -931 meV/atom.

***

(4)
The following is a DFT calculation (PBE) of crystalline CaErRh at its relaxed geometry.

```
CaErRh
1.0
-4.112 0.024 2.481
-0.237 -2.173 4.276
-0.372 2.620 4.007
Er Rh Ca
1 1 1
direct
0.500 0.500 0.500
0.250 0.250 0.250
0.000 0.000 0.000
```

Values from the calculation:
As for the total energy: -15.295 eV/cell.

***

(5)
The following is a DFT calculation (PBE) of crystalline SmZrIrRh at its relaxed geometry.

```
SmZrIrRh
1.0
-2.170 -4.221 0.752
0.913 -2.491 4.006
-3.369 -0.397 3.402
Rh Ir Sm Zr
1 1 1 1
direct
0.500 0.500 0.500
0.000 0.000 0.000
0.750 0.750 0.750
0.250 0.250 0.250
```

Values from the calculation:
As for the total energy: -32.214 eV/cell.

***

(6)
The following is a DFT calculation (PBE) of crystalline Ho2SeCl3 at its relaxed geometry.

```
Ho2SeCl3
1.0
4.111 0.000 0.000
2.056 8.046 -0.561
2.056 1.556 10.295
Ho Cl Se
4 6 2
direct
0.869 0.426 0.836
0.131 0.574 0.164
0.396 0.761 0.447
0.604 0.239 0.553
0.661 0.686 0.992
0.768 0.875 0.589
0.064 0.143 0.730
0.339 0.314 0.008
0.936 0.857 0.270
0.232 0.125 0.411
0.615 0.453 0.318
0.385 0.547 0.682
```

Values from the calculation:
For the raw formation energy, the calculation gives -1950 meV/atom.

***

(7)
The following is a DFT calculation (PBE) of crystalline Ag3Bi4O12 at its relaxed geometry.

```
Ag3Bi4O12
1.0
-0.498 4.538 5.599
-1.612 -6.697 2.178
6.735 0.127 -2.611
Bi O Ag
4 12 3
direct
0.000 0.500 0.000
0.000 0.000 0.500
0.500 0.000 0.000
0.500 0.500 0.500
0.674 0.850 0.176
0.498 0.824 0.674
0.326 0.502 0.176
0.674 0.498 0.824
0.824 0.326 0.150
0.850 0.176 0.674
0.502 0.176 0.326
0.150 0.824 0.326
0.176 0.674 0.850
0.176 0.326 0.502
0.326 0.150 0.824
0.824 0.674 0.498
0.500 0.500 0.000
0.000 0.500 0.500
0.500 0.000 0.500
```

Values from the calculation:
For the raw formation energy, the calculation gives -648 meV/atom.

***

Repeat the first record exactly.
The following is a DFT calculation (PBE) of crystalline Mn2GeIr2 at its relaxed geometry.

```
Mn2GeIr2
1.0
-7.240 -0.267 -0.357
0.381 -6.720 -2.704
-0.091 -1.070 2.647
Ir Mn Ge
4 4 2
direct
0.365 0.865 0.000
0.865 0.635 0.000
0.135 0.365 0.000
0.635 0.135 0.000
0.662 0.838 0.500
0.162 0.662 0.500
0.338 0.162 0.500
0.838 0.338 0.500
0.500 0.500 0.000
0.000 0.000 0.000
```

Values from the calculation:
As for the total energy: -80.859 eV/cell.